Density functional theory data (PBE-GGA) for an optimized crystal structure of CsZnPbBr5.

Unit cell a=8.3189 b=8.3189 c=10.8115 alpha=104.74 beta=104.74 gamma=106.03
With the nearest neighbours (Å) after each atom.
Sites, in units of the cell vectors:
Pb  0.0000  0.0000  0.5000  6 Br 2.94-3.14
Pb  0.0000  0.0000  0.0000  6 Br 2.94-3.14
Br  0.8966  0.3218  0.1250  1 Zn 2.45
Br  0.9128  0.0872  0.7500  2 Pb 2.94
Br  0.2400  0.3997  0.5721  1 Zn 2.47
Br  0.0872  0.9128  0.2500  2 Pb 2.94
Br  0.3997  0.2400  0.0721  1 Zn 2.47
Br  0.6782  0.1034  0.3750  1 Zn 2.45
Br  0.1034  0.6782  0.8750  1 Zn 2.45
Br  0.3218  0.8966  0.6250  1 Zn 2.45
Br  0.7600  0.6003  0.4279  1 Zn 2.47
Br  0.6003  0.7600  0.9279  1 Zn 2.47
Zn  0.6883  0.3117  0.2500  4 Br 2.45-2.47
Zn  0.3117  0.6883  0.7500  4 Br 2.45-2.47
Cs  0.3513  0.6487  0.2500  5 Br 3.51-3.66
Cs  0.6487  0.3513  0.7500  5 Br 3.51-3.66

Calculated values
* spin magnetization: 0.0 Bohr magnetons per cell
* calculated total energy: -46.6 eV for the cell shown
* formation energy (no corrections): -1.135 eV/atom
* crystal system: monoclinic

---

Density functional theory data (PBE-GGA) for an optimized crystal structure of Cs2Pd2Br7.

Unit cell a=5.3826 b=8.6701 c=9.3889 alpha=62.50 beta=81.87 gamma=72.16
With the nearest neighbours (Å) after each atom.
Sites, in units of the cell vectors:
Br  0.3250  0.3524  0.0000  3 Pd 2.70-2.71
Br  0.0000  0.0000  0.0000  2 Pd 2.65
Br  0.6750  0.6476  0.0000  3 Pd 2.70-2.71
Br  0.1499  0.5406  0.3000  1 Pd 2.50
Br  0.1499  0.8405  0.7000  1 Pd 2.50
Br  0.8501  0.4594  0.7000  1 Pd 2.50
Br  0.8501  0.1595  0.3000  1 Pd 2.50
Pd  0.8397  0.3207  0.0000  6 Br 2.50-2.71
Pd  0.1603  0.6793  0.0000  6 Br 2.50-2.71
Cs  0.5000  0.8342  0.3317  10 Br 3.71-4.01
Cs  0.5000  0.1658  0.6683  10 Br 3.71-4.01

Calculated values
* spin magnetization: 0.0 Bohr magnetons per cell
* offset from the most stable computed form: 0 meV/atom
* calculated total energy: -32.9 eV for the cell shown
* formation energy (no corrections): -0.827 eV/atom
* crystal system: monoclinic

---

Density functional theory data (PBE-GGA) for an optimized crystal structure of Cs3Pd5Br12.

Unit cell a=15.2187 b=15.2187 c=15.2187 alpha=109.47 beta=109.47 gamma=109.47
With the nearest neighbours (Å) after each atom.
Sites, in units of the cell vectors:
Br  0.5972  0.9985  0.6780  2 Pd 2.57-2.63
Br  0.9028  0.0808  0.9013  2 Pd 2.57-2.63
Br  0.5987  0.0015  0.1795  2 Pd 2.57-2.63
Br  0.3220  0.8205  0.4192  2 Pd 2.57-2.63
Br  0.4013  0.4028  0.0808  2 Pd 2.57-2.63
Br  0.9985  0.5972  0.1780  2 Pd 2.57-2.63
Br  0.0972  0.9192  0.0987  2 Pd 2.57-2.63
Br  0.5987  0.5972  0.9192  2 Pd 2.57-2.63
Br  0.9013  0.5808  0.9028  2 Pd 2.57-2.63
Br  0.9985  0.4013  0.3205  2 Pd 2.57-2.63
Br  0.6780  0.1795  0.5808  2 Pd 2.57-2.63
Br  0.4028  0.4013  0.5808  2 Pd 2.57-2.63
Br  0.5015  0.3220  0.9028  2 Pd 2.57-2.63
Br  0.4013  0.9985  0.8205  2 Pd 2.57-2.63
Br  0.4985  0.8205  0.9013  2 Pd 2.57-2.63
Br  0.1795  0.6780  0.0808  2 Pd 2.57-2.63
Br  0.8220  0.9028  0.0015  2 Pd 2.57-2.63
Br  0.1795  0.5015  0.5987  2 Pd 2.57-2.63
Br  0.5808  0.6795  0.6780  2 Pd 2.57-2.63
Br  0.1780  0.0808  0.6795  2 Pd 2.57-2.63
Br  0.5015  0.1795  0.0987  2 Pd 2.57-2.63
Br  0.8205  0.4985  0.4013  2 Pd 2.57-2.63
Br  0.9028  0.8220  0.5015  2 Pd 2.57-2.63
Br  0.4985  0.6780  0.0972  2 Pd 2.57-2.63
Br  0.0808  0.9028  0.4013  2 Pd 2.57-2.63
Br  0.9192  0.0972  0.5987  2 Pd 2.57-2.63
Br  0.9013  0.3205  0.4985  2 Pd 2.57-2.63
Br  0.0015  0.4028  0.8220  2 Pd 2.57-2.63
Br  0.9192  0.8220  0.8205  2 Pd 2.57-2.63
Br  0.3205  0.4192  0.8220  2 Pd 2.57-2.63
Br  0.4192  0.3205  0.3220  2 Pd 2.57-2.63
Br  0.3205  0.9013  0.9985  2 Pd 2.57-2.63
Br  0.8220  0.9192  0.3205  2 Pd 2.57-2.63
Br  0.5972  0.5987  0.4192  2 Pd 2.57-2.63
Br  0.5808  0.9013  0.4028  2 Pd 2.57-2.63
Br  0.0015  0.5987  0.6795  2 Pd 2.57-2.63
Br  0.0987  0.6795  0.5015  2 Pd 2.57-2.63
Br  0.4028  0.0015  0.3220  2 Pd 2.57-2.63
Br  0.6795  0.5808  0.1780  2 Pd 2.57-2.63
Br  0.4192  0.0987  0.5972  2 Pd 2.57-2.63
Br  0.0808  0.1780  0.1795  2 Pd 2.57-2.63
Br  0.1780  0.0972  0.9985  2 Pd 2.57-2.63
Br  0.0987  0.4192  0.0972  2 Pd 2.57-2.63
Br  0.0972  0.1780  0.4985  2 Pd 2.57-2.63
Br  0.8205  0.3220  0.9192  2 Pd 2.57-2.63
Br  0.6795  0.0987  0.0015  2 Pd 2.57-2.63
Br  0.3220  0.5015  0.4028  2 Pd 2.57-2.63
Br  0.6780  0.4985  0.5972  2 Pd 2.57-2.63
Cs  0.3750  0.7500  0.6250  8 Br 3.57-3.74
Cs  0.8750  0.1250  0.2500  8 Br 3.57-3.74
Cs  0.7500  0.8750  0.6250  8 Br 3.57-3.74
Cs  0.7500  0.3750  0.1250  8 Br 3.57-3.74
Cs  0.1250  0.2500  0.8750  8 Br 3.57-3.74
Cs  0.8750  0.7500  0.1250  8 Br 3.57-3.74
Cs  0.1250  0.8750  0.7500  8 Br 3.57-3.74
Cs  0.2500  0.6250  0.8750  8 Br 3.57-3.74
Cs  0.3750  0.6250  0.2500  8 Br 3.57-3.74
Cs  0.6250  0.3750  0.7500  8 Br 3.57-3.74
Cs  0.6250  0.2500  0.3750  8 Br 3.57-3.74
Cs  0.2500  0.1250  0.3750  8 Br 3.57-3.74
Pd  0.5000  0.0000  0.5000  6 Br 2.63
Pd  0.7500  0.6250  0.3750  4 Br 2.57
Pd  0.5000  0.5000  0.0000  6 Br 2.63
Pd  0.0000  0.0000  0.0000  6 Br 2.63
Pd  0.3750  0.2500  0.1250  4 Br 2.57
Pd  0.0000  0.5000  0.0000  6 Br 2.63
Pd  0.1250  0.3750  0.2500  4 Br 2.57
Pd  0.1250  0.7500  0.3750  4 Br 2.57
Pd  0.8750  0.6250  0.7500  4 Br 2.57
Pd  0.0000  0.0000  0.5000  6 Br 2.63
Pd  0.0000  0.5000  0.5000  6 Br 2.63
Pd  0.6250  0.8750  0.2500  4 Br 2.57
Pd  0.5000  0.5000  0.5000  6 Br 2.63
Pd  0.7500  0.1250  0.8750  4 Br 2.57
Pd  0.5000  0.0000  0.0000  6 Br 2.63
Pd  0.6250  0.7500  0.8750  4 Br 2.57
Pd  0.2500  0.8750  0.1250  4 Br 2.57
Pd  0.8750  0.2500  0.6250  4 Br 2.57
Pd  0.2500  0.3750  0.6250  4 Br 2.57
Pd  0.3750  0.1250  0.7500  4 Br 2.57

Calculated values
* spin magnetization: 4.2 Bohr magnetons per cell
* calculated total energy: -244.0 eV for the cell shown
* formation energy (no corrections): -0.620 eV/atom
* crystal system: cubic

---

Density functional theory data (PBE-GGA) for an optimized crystal structure of CsPdBr.

Unit cell a=11.0581 b=3.9981 c=9.7117 alpha=90.00 beta=90.00 gamma=90.00
With the nearest neighbours (Å) after each atom.
Sites, in units of the cell vectors:
Pd  0.9851  0.2500  0.0918  2 Br 2.63, 2 Pd 2.70
Pd  0.4851  0.2500  0.4082  2 Br 2.63, 2 Pd 2.70
Pd  0.5149  0.7500  0.5918  2 Br 2.63, 2 Pd 2.70
Pd  0.0149  0.7500  0.9082  2 Br 2.63, 2 Pd 2.70
Br  0.9613  0.7500  0.2655  2 Pd 2.63
Br  0.4613  0.7500  0.2345  2 Pd 2.63
Br  0.0387  0.2500  0.7345  2 Pd 2.63
Br  0.5387  0.2500  0.7655  2 Pd 2.63
Cs  0.2796  0.2500  0.9989  3 Pd 3.38-3.65, 4 Br 3.64-3.70
Cs  0.7796  0.2500  0.5011  3 Pd 3.38-3.65, 4 Br 3.64-3.70
Cs  0.7204  0.7500  0.0011  3 Pd 3.38-3.65, 4 Br 3.64-3.70
Cs  0.2204  0.7500  0.4989  3 Pd 3.38-3.65, 4 Br 3.64-3.70

Calculated values
* spin magnetization: 0.0 Bohr magnetons per cell
* offset from the most stable computed form: 0 meV/atom
* calculated total energy: -39.0 eV for the cell shown
* formation energy (no corrections): -0.681 eV/atom
* crystal system: orthorhombic

---

Density functional theory data (PBE-GGA) for an optimized crystal structure of Cs2PdBr5.

Unit cell a=7.6453 b=7.6453 c=7.6453 alpha=94.17 beta=117.62 gamma=117.62
With the nearest neighbours (Å) after each atom.
Sites, in units of the cell vectors:
Cs  0.5000  0.7425  0.2425  10 Br 3.82-3.97
Cs  0.5000  0.2425  0.7425  10 Br 3.82-3.97
Br  0.0000  0.7682  0.2125  1 Pd 2.50
Br  0.5557  0.7682  0.7682  1 Pd 2.50
Br  0.4443  0.2125  0.2125  1 Pd 2.50
Br  0.0000  0.2125  0.7682  1 Pd 2.50
Br  0.0000  0.2641  0.2641  1 Pd 2.63
Pd  0.0000  0.0115  0.0115  5 Br 2.50-2.63

Calculated values
* spin magnetization: 1.0 Bohr magnetons per cell
* offset from the most stable computed form: 47 meV/atom
* calculated total energy: -23.7 eV for the cell shown
* formation energy (no corrections): -1.050 eV/atom
* crystal system: tetragonal

---

Density functional theory data (PBE-GGA) for an optimized crystal structure of Cs2Pd2Br7.

Unit cell a=4.8369 b=9.6997 c=9.6997 alpha=116.02 beta=89.41 gamma=89.41
With the nearest neighbours (Å) after each atom.
Sites, in units of the cell vectors:
Br  0.0000  0.0000  0.0000  2 Pd 2.64
Br  0.4832  0.3282  0.3282  2 Pd 2.53
Br  0.9863  0.4168  0.1141  1 Pd 2.49
Br  0.0137  0.8859  0.5832  1 Pd 2.49
Br  0.0137  0.5832  0.8859  1 Pd 2.49
Br  0.9863  0.1141  0.4168  1 Pd 2.49
Br  0.5168  0.6718  0.6718  2 Pd 2.53
Pd  0.0137  0.7435  0.7435  5 Br 2.49-2.64
Pd  0.9863  0.2565  0.2565  5 Br 2.49-2.64
Cs  0.5000  0.2172  0.7828  8 Br 3.79-4.11
Cs  0.5000  0.7828  0.2172  8 Br 3.79-4.11

Calculated values
* spin magnetization: 0.0 Bohr magnetons per cell
* offset from the most stable computed form: 25 meV/atom
* calculated total energy: -32.6 eV for the cell shown
* formation energy (no corrections): -0.802 eV/atom
* crystal system: monoclinic

---

Density functional theory data (PBE-GGA) for an optimized crystal structure of CsPd2Br8.

Unit cell a=5.4494 b=7.3603 c=9.9010 alpha=68.18 beta=89.99 gamma=89.98
With the nearest neighbours (Å) after each atom.
Sites, in units of the cell vectors:
Br  0.5000  0.2467  0.5066  2 Pd 2.73
Br  0.2542  0.4989  0.0000  2 Br 2.68-2.77
Br  0.9997  0.6021  0.3116  2 Pd 2.51-2.55
Br  0.9997  0.9137  0.6884  2 Pd 2.51-2.55
Br  0.0003  0.0863  0.3116  2 Pd 2.51-2.55
Br  0.5000  0.7533  0.4934  2 Pd 2.73
Br  0.7458  0.5011  0.0000  2 Br 2.68-2.77
Br  0.0003  0.3979  0.6884  2 Pd 2.51-2.55
Cs  0.5000  0.0000  0.0000  12 Br 3.91-4.34
Pd  0.0000  0.2516  0.4968  6 Br 2.51-2.73
Pd  0.0000  0.7484  0.5032  6 Br 2.51-2.73

Calculated values
* spin magnetization: 0.0 Bohr magnetons per cell
* calculated total energy: -29.5 eV for the cell shown
* formation energy (no corrections): -0.444 eV/atom
* crystal system: monoclinic

---

Density functional theory data (PBE-GGA) for an optimized crystal structure of Cs3PdBr7.

Unit cell a=7.6615 b=10.6327 c=10.6327 alpha=90.00 beta=90.00 gamma=90.00
With the nearest neighbours (Å) after each atom.
Sites, in units of the cell vectors:
Br  0.2322  0.8825  0.6175  1 Pd 2.51
Br  0.2322  0.3825  0.8825  1 Pd 2.51
Br  0.7678  0.1175  0.3825  1 Pd 2.51
Br  0.0000  0.3320  0.1680  1 Pd 2.53
Br  0.7678  0.8825  0.6175  1 Pd 2.51
Br  0.5000  0.5000  0.5000  6 Cs 3.83-3.92
Br  0.5000  0.0000  0.0000  6 Cs 3.83-3.92
Br  0.0000  0.8320  0.3320  1 Pd 2.53
Br  0.0000  0.6680  0.8320  1 Pd 2.53
Br  0.7678  0.3825  0.8825  1 Pd 2.51
Br  0.0000  0.1680  0.6680  1 Pd 2.53
Br  0.7678  0.6175  0.1175  1 Pd 2.51
Br  0.2322  0.1175  0.3825  1 Pd 2.51
Br  0.2322  0.6175  0.1175  1 Pd 2.51
Cs  0.5000  0.1750  0.6750  10 Br 3.73-3.92
Cs  0.5000  0.3250  0.1750  10 Br 3.73-3.92
Cs  0.5000  0.6750  0.8250  10 Br 3.73-3.92
Cs  0.5000  0.8250  0.3250  10 Br 3.73-3.92
Cs  0.0000  0.0000  0.0000  6 Br 3.83-3.96
Cs  0.0000  0.5000  0.5000  6 Br 3.83-3.96
Pd  0.0000  0.0000  0.5000  6 Br 2.51-2.53
Pd  0.0000  0.5000  0.0000  6 Br 2.51-2.53

Calculated values
* spin magnetization: 0.4 Bohr magnetons per cell
* calculated total energy: -63.2 eV for the cell shown
* formation energy (no corrections): -1.106 eV/atom
* crystal system: tetragonal

---

Density functional theory data (PBE-GGA) for an optimized crystal structure of CsPd3Br.

Unit cell a=5.0306 b=5.0306 c=5.0306 alpha=90.00 beta=90.00 gamma=90.00
With the nearest neighbours (Å) after each atom.
Sites, in units of the cell vectors:
Pd  0.0000  0.0000  0.5000  2 Br 2.52
Pd  0.5000  0.0000  0.0000  2 Br 2.52
Pd  0.0000  0.5000  0.0000  2 Br 2.52
Cs  0.5000  0.5000  0.5000  12 Pd 3.56
Br  0.0000  0.0000  0.0000  6 Pd 2.52

Calculated values
* spin magnetization: 0.0 Bohr magnetons per cell
* offset from the most stable computed form: 0 meV/atom
* calculated total energy: -17.0 eV for the cell shown
* formation energy (no corrections): 0.230 eV/atom
* crystal system: cubic

---

Density functional theory data (PBE-GGA) for an optimized crystal structure of CsPdBr4.

Unit cell a=6.8080 b=7.7829 c=10.1442 alpha=106.83 beta=90.00 gamma=115.94
With the nearest neighbours (Å) after each atom.
Sites, in units of the cell vectors:
Br  0.2867  0.4492  0.1033  1 Pd 2.45
Br  0.7133  0.5508  0.8967  1 Pd 2.45
Br  0.8375  0.5508  0.3967  1 Pd 2.45
Br  0.7552  0.1373  0.9290  1 Pd 2.44
Br  0.3820  0.1373  0.4290  1 Pd 2.44
Br  0.6180  0.8627  0.5710  1 Pd 2.44
Br  0.1625  0.4492  0.6033  1 Pd 2.45
Br  0.2448  0.8627  0.0710  1 Pd 2.44
Cs  0.8145  0.0000  0.2500  10 Br 3.78-4.04
Cs  0.1855  0.0000  0.7500  10 Br 3.78-4.04
Pd  0.5000  0.5000  0.5000  4 Br 2.44-2.45
Pd  0.0000  0.5000  0.0000  4 Br 2.44-2.45

Calculated values
* spin magnetization: 1.8 Bohr magnetons per cell
* calculated total energy: -34.2 eV for the cell shown
* formation energy (no corrections): -0.724 eV/atom
* crystal system: monoclinic

---

Density functional theory data (PBE-GGA) for an optimized crystal structure of CsPdBr4.

Unit cell a=5.4275 b=7.6323 c=10.1137 alpha=90.00 beta=105.56 gamma=90.00
With the nearest neighbours (Å) after each atom.
Sites, in units of the cell vectors:
Br  0.1850  0.5286  0.3699  1 Pd 2.45
Br  0.4072  0.2500  0.8144  2 Pd 2.71
Br  0.1850  0.9714  0.3699  1 Pd 2.45
Br  0.0000  0.0000  0.0000  2 Pd 2.64
Br  0.0000  0.5000  0.0000  2 Pd 2.64
Br  0.8150  0.4714  0.6301  1 Pd 2.45
Br  0.8150  0.0286  0.6301  1 Pd 2.45
Br  0.5928  0.7500  0.1856  2 Pd 2.71
Cs  0.6079  0.2500  0.2158  11 Br 3.76-3.93
Cs  0.3921  0.7500  0.7842  11 Br 3.76-3.93
Pd  0.9063  0.2500  0.8126  6 Br 2.45-2.71
Pd  0.0937  0.7500  0.1874  6 Br 2.45-2.71

Calculated values
* spin magnetization: 0.0 Bohr magnetons per cell
* calculated total energy: -34.4 eV for the cell shown
* formation energy (no corrections): -0.744 eV/atom
* crystal system: orthorhombic

---

Density functional theory data (PBE-GGA) for an optimized crystal structure of CsPdBr.

Unit cell a=10.3395 b=4.6167 c=8.0223 alpha=90.00 beta=90.00 gamma=90.00
With the nearest neighbours (Å) after each atom.
Sites, in units of the cell vectors:
Cs  0.4999  0.2500  0.7501  6 Pd 3.71-3.73, 6 Br 3.72
Cs  0.9999  0.2500  0.7499  6 Pd 3.71-3.73, 6 Br 3.72
Cs  0.0001  0.7500  0.2501  6 Pd 3.71-3.73, 6 Br 3.72
Cs  0.5001  0.7500  0.2499  6 Pd 3.71-3.73, 6 Br 3.72
Pd  0.2498  0.7500  0.9144  3 Br 2.66-2.67
Pd  0.7498  0.7500  0.5856  3 Br 2.66-2.67
Pd  0.2502  0.2500  0.4144  3 Br 2.66-2.67
Pd  0.7502  0.2500  0.0856  3 Br 2.66-2.67
Br  0.7500  0.7500  0.9171  3 Pd 2.66-2.67
Br  0.7500  0.2500  0.4171  3 Pd 2.66-2.67
Br  0.2500  0.7500  0.5829  3 Pd 2.66-2.67
Br  0.2500  0.2500  0.0829  3 Pd 2.66-2.67

Calculated values
* spin magnetization: 0.0 Bohr magnetons per cell
* offset from the most stable computed form: 70 meV/atom
* calculated total energy: -38.2 eV for the cell shown
* formation energy (no corrections): -0.611 eV/atom
* crystal system: orthorhombic

---

Please write out number 9 again, unchanged.
Density functional theory data (PBE-GGA) for an optimized crystal structure of CsPd3Br.

Unit cell a=5.0306 b=5.0306 c=5.0306 alpha=90.00 beta=90.00 gamma=90.00
With the nearest neighbours (Å) after each atom.
Sites, in units of the cell vectors:
Pd  0.0000  0.0000  0.5000  2 Br 2.52
Pd  0.5000  0.0000  0.0000  2 Br 2.52
Pd  0.0000  0.5000  0.0000  2 Br 2.52
Cs  0.5000  0.5000  0.5000  12 Pd 3.56
Br  0.0000  0.0000  0.0000  6 Pd 2.52

Calculated values
* spin magnetization: 0.0 Bohr magnetons per cell
* offset from the most stable computed form: 0 meV/atom
* calculated total energy: -17.0 eV for the cell shown
* formation energy (no corrections): 0.230 eV/atom
* crystal system: cubic